[1]
Density functional theory data (PBE) for a relaxed structure of As2RhAu.

Its energy of formation from the pure elements is 0.33 eV per atom. The electronic total energy is -4.65 eV per atom.

The space group is F-43m (No. 216) and the conventional cell measures 6.5138, 6.5138 and 6.5138 Å, with angles of 90.00, 90.00 and 90.00 degrees. The inequivalent atoms are As at (0.0000, 0.0000, 0.0000), As at (0.2500, 0.2500, 0.2500), Rh at (0.2500, 0.2500, 0.7500) and Au at (0.0000, 0.0000, 0.5000).

[2]
Density functional theory data (PBE) for a relaxed structure of TbPm3Nd3.

Its energy of formation from the pure elements is 0.22 eV per atom. The electronic total energy is -4.52 eV per atom.

The space group is R-3 (No. 148, hexagonal axes) and the conventional cell measures 8.8088, 8.8088 and 22.2476 Å, with angles of 90.00, 90.00 and 120.00 degrees. The inequivalent atoms are Tb at (0.0000, 0.0000, 0.1540), Pm at (0.0506, 0.6018, 0.3810) and Nd at (0.0037, 0.7643, 0.5585).

[3]
Density functional theory data (PBE) for a relaxed structure of Sm3CdSi2Pd9.

The electronic total energy is -5.44 eV per atom.

The space group is P-3m1 (No. 164) and the conventional cell measures 5.7711, 5.7711 and 10.7831 Å, with angles of 90.00, 90.00 and 120.00 degrees. The inequivalent atoms are Sm at (0.0000, 0.0000, 0.0000), Sm at (0.3333, 0.6667, 0.6133), Cd at (0.0000, 0.0000, 0.5000), Si at (0.3333, 0.6667, 0.1558), Pd at (0.0000, 0.5000, 0.0000) and Pd at (0.1628, 0.3255, 0.3002).

[4]
Density functional theory data (PBE) for a relaxed structure of SmY3Ho6.

Its energy of formation from the pure elements is 0.29 eV per atom. The electronic total energy is -4.86 eV per atom.

The space group is R3 (No. 146, hexagonal axes) and the conventional cell measures 9.8145, 9.8145 and 11.6592 Å, with angles of 90.00, 90.00 and 120.00 degrees. The inequivalent atoms are Sm at (0.0000, 0.0000, 0.0000), Y at (0.0000, 0.0000, 0.2443), Y at (0.0000, 0.0000, 0.4978), Y at (0.0000, 0.0000, 0.7418), Ho at (0.0001, 0.3376, 0.6748) and Ho at (0.0044, 0.6703, 0.5090).

[5]
Density functional theory data (PBE) for a relaxed structure of Tb4Nd4Y.

Its energy of formation from the pure elements is 0.02 eV per atom. The electronic total energy is -4.88 eV per atom.

The space group is C2/m (No. 12) and the conventional cell measures 11.4072, 5.1263 and 10.8539 Å, with angles of 90.00, 108.27 and 90.00 degrees. The inequivalent atoms are Tb at (0.1662, 0.0000, 0.0542), Tb at (0.1684, 0.0000, 0.7243), Nd at (0.0008, 0.5000, 0.8335), Nd at (0.1666, 0.0000, 0.3884) and Y at (0.0000, 0.5000, 0.5000).

[6]
Density functional theory data (PBE) for a relaxed structure of MgCrBr4.

The electronic total energy is -2.39 eV per atom.

The space group is F-43m (No. 216) and the conventional cell measures 8.9858, 8.9858 and 8.9858 Å, with angles of 90.00, 90.00 and 90.00 degrees. The inequivalent atoms are Mg at (0.0000, 0.0000, 0.0000), Cr at (0.2500, 0.2500, 0.2500) and Br at (0.1254, 0.1254, 0.6254).

[7]
Density functional theory data (PBE) for a relaxed structure of ZrZnN2F.

The electronic total energy is -5.89 eV per atom.

The space group is P4/mmm (No. 123) and the conventional cell measures 3.9049, 3.9049 and 3.7240 Å, with angles of 90.00, 90.00 and 90.00 degrees. The inequivalent atoms are Zr at (0.0000, 0.0000, 0.0000), Zn at (0.5000, 0.5000, 0.5000), N at (0.0000, 0.5000, 0.5000) and F at (0.5000, 0.5000, 0.0000).

[8]
Density functional theory data (PBE) for a relaxed structure of CsHf3Nb.

Its energy of formation from the pure elements is 2.48 eV per atom. The electronic total energy is -5.67 eV per atom.

The space group is Pm-3m (No. 221) and the conventional cell measures 5.1436, 5.1436 and 5.1436 Å, with angles of 90.00, 90.00 and 90.00 degrees. The inequivalent atoms are Cs at (0.0000, 0.0000, 0.0000), Hf at (0.0000, 0.0000, 0.5000) and Nb at (0.5000, 0.5000, 0.5000).

[9]
Density functional theory data (PBE) for a relaxed structure of NiPtIN2.

The electronic total energy is -4.60 eV per atom.

The space group is P4/mmm (No. 123) and the conventional cell measures 3.6627, 3.6627 and 8.0617 Å, with angles of 90.00, 90.00 and 90.00 degrees. The inequivalent atoms are Ni at (0.0000, 0.0000, 0.0000), Pt at (0.5000, 0.5000, 0.5000), I at (0.0000, 0.0000, 0.5000) and N at (0.0000, 0.5000, 0.0000).

[10]
Density functional theory data (PBE) for a relaxed structure of LaPm5Tl6.

Its energy of formation from the pure elements is -0.39 eV per atom. The electronic total energy is -3.97 eV per atom.

The space group is P2/m (No. 10) and the conventional cell measures 5.5371, 7.7253 and 8.7477 Å, with angles of 90.00, 108.09 and 90.00 degrees. The inequivalent atoms are La at (0.0000, 0.0000, 0.0000), Pm at (0.0000, 0.5000, 0.0000), Pm at (0.3327, 0.0000, 0.6654), Pm at (0.3357, 0.5000, 0.6714), Tl at (0.1689, 0.2541, 0.3379) and Tl at (0.5000, 0.2528, 0.0000).

[11]
Density functional theory data (PBE) for a relaxed structure of Y5TlBi4.

Its energy of formation from the pure elements is -0.72 eV per atom. The electronic total energy is -5.74 eV per atom.

The space group is I4/m (No. 87) and the conventional cell measures 10.0054, 10.0054 and 6.3127 Å, with angles of 90.00, 90.00 and 90.00 degrees. The inequivalent atoms are Y at (0.0000, 0.0000, 0.0000), Y at (0.1023, 0.6974, 0.5000), Tl at (0.0000, 0.0000, 0.5000) and Bi at (0.0995, 0.7003, 0.0000).

[12]
Density functional theory data (PBE) for a relaxed structure of Tb4Ag3Hg5.

Its energy of formation from the pure elements is -0.13 eV per atom. The electronic total energy is -2.51 eV per atom.

The space group is C2/m (No. 12) and the conventional cell measures 10.9313, 5.2093 and 10.9642 Å, with angles of 90.00, 105.64 and 90.00 degrees. The inequivalent atoms are Tb at (0.1463, 0.0000, 0.2938), Tb at (0.2177, 0.0000, 0.8955), Ag at (0.0000, 0.0000, 0.0000), Ag at (0.1006, 0.5000, 0.7772), Hg at (0.0000, 0.5000, 0.0000), Hg at (0.1171, 0.0000, 0.6125) and Hg at (0.1194, 0.5000, 0.4468).

What is the formula in the tenth record?
LaPm5Tl6

The lowest electronic total energy belongs to which entry?
ZrZnN2F

What is the formula in the fourth record?
SmY3Ho6

Copy entry 12 word for word.
Density functional theory data (PBE) for a relaxed structure of Tb4Ag3Hg5.

Its energy of formation from the pure elements is -0.13 eV per atom. The electronic total energy is -2.51 eV per atom.

The space group is C2/m (No. 12) and the conventional cell measures 10.9313, 5.2093 and 10.9642 Å, with angles of 90.00, 105.64 and 90.00 degrees. The inequivalent atoms are Tb at (0.1463, 0.0000, 0.2938), Tb at (0.2177, 0.0000, 0.8955), Ag at (0.0000, 0.0000, 0.0000), Ag at (0.1006, 0.5000, 0.7772), Hg at (0.0000, 0.5000, 0.0000), Hg at (0.1171, 0.0000, 0.6125) and Hg at (0.1194, 0.5000, 0.4468).